1) # CaErZn

A geometry-optimized CaErZn structure (PBE, Alexandria via LeMat-Bulk).

Calculated values
Calculated volume, Å³ per atom: 27.994

Geometry as CIF:
```
data_CaErZn
_cell_length_a 5.057
_cell_length_b 5.057
_cell_length_c 3.793
_cell_angle_alpha 90.00
_cell_angle_beta 90.00
_cell_angle_gamma 120.00
_symmetry_space_group_name_H-M 'P 1'
_symmetry_Int_Tables_number 1
loop_
_symmetry_equiv_pos_as_xyz
'x,y,z'
loop_
_atom_site_label
_atom_site_type_symbol
_atom_site_fract_x
_atom_site_fract_y
_atom_site_fract_z
Ca1 Ca 0.000 0.000 0.000
Er1 Er 0.667 0.333 0.525
Zn1 Zn 0.333 0.667 0.336
```

2) # CaErZn

A geometry-optimized CaErZn structure (PBE, Alexandria via LeMat-Bulk).

Calculated values
Calculated volume, Å³ per atom: 27.694

Geometry as CIF:
```
data_CaErZn
_cell_length_a 6.880
_cell_length_b 6.880
_cell_length_c 6.880
_cell_angle_alpha 149.62
_cell_angle_beta 149.62
_cell_angle_gamma 43.50
_symmetry_space_group_name_H-M 'P 1'
_symmetry_Int_Tables_number 1
loop_
_symmetry_equiv_pos_as_xyz
'x,y,z'
loop_
_atom_site_label
_atom_site_type_symbol
_atom_site_fract_x
_atom_site_fract_y
_atom_site_fract_z
Ca1 Ca 0.000 0.000 0.000
Er1 Er 0.276 0.276 0.000
Zn1 Zn 0.653 0.653 0.000
```

3) # CaErZn

A geometry-optimized CaErZn structure (PBE, Alexandria via LeMat-Bulk).

Calculated values
Calculated volume, Å³ per atom: 29.090

Geometry as CIF:
```
data_CaErZn
_cell_length_a 4.789
_cell_length_b 4.789
_cell_length_c 7.611
_cell_angle_alpha 90.00
_cell_angle_beta 90.00
_cell_angle_gamma 90.00
_symmetry_space_group_name_H-M 'P 1'
_symmetry_Int_Tables_number 1
loop_
_symmetry_equiv_pos_as_xyz
'x,y,z'
loop_
_atom_site_label
_atom_site_type_symbol
_atom_site_fract_x
_atom_site_fract_y
_atom_site_fract_z
Ca1 Ca 0.250 0.250 0.135
Ca2 Ca 0.750 0.750 0.865
Er1 Er 0.250 0.750 0.500
Er2 Er 0.750 0.250 0.500
Zn1 Zn 0.250 0.250 0.729
Zn2 Zn 0.750 0.750 0.271
```

Least stable = 1)